Density functional theory data (PBE) for Pm8Pr3Mg2 after structural relaxation.

The space group is P-1. As for the crystal system: triclinic. The value obtained for the formation energy is 0.0663 eV per atom. For the electronic total energy, the calculation gives -54.67 eV/f.u.

Cell: 7.424 9.702 8.075 Å, 88.17 49.07 89.13°
Fractional coordinates of all 13 atoms:
Mg (0.518, 0.562, 0.328)
Mg (0.482, 0.438, 0.672)
Pm (0.931, 0.323, 0.096)
Pm (0.537, 0.690, 0.939)
Pm (0.669, 0.822, 0.459)
Pm (0.839, 0.148, 0.536)
Pm (0.331, 0.178, 0.541)
Pm (0.463, 0.310, 0.061)
Pm (0.161, 0.852, 0.464)
Pm (0.069, 0.677, 0.904)
Pr (0.255, 0.999, 0.987)
Pr (0.745, 0.001, 0.013)
Pr (0.000, 0.500, 0.500)

=====

Density functional theory data (PBE) for Pm4PrMg5 after structural relaxation.

The space group is P4/mmm. As for the crystal system: tetragonal. The value obtained for the formation energy is -0.1084 eV per atom. For the electronic total energy, the calculation gives -32.84 eV/f.u.

Cell: 3.870 3.870 19.434 Å, 90.00 90.00 90.00°
Fractional coordinates of all 10 atoms:
Mg (0.500, 0.500, 0.698)
Mg (0.500, 0.500, 0.897)
Mg (0.500, 0.500, 0.103)
Mg (0.500, 0.500, 0.500)
Mg (0.500, 0.500, 0.302)
Pm (0.000, 0.000, 0.798)
Pm (0.000, 0.000, 0.202)
Pm (0.000, 0.000, 0.401)
Pm (0.000, 0.000, 0.599)
Pr (0.000, 0.000, 0.000)

=====

Density functional theory data (PBE) for Pm9PrMg2 after structural relaxation.

The space group is P4/mmm. As for the crystal system: tetragonal. The value obtained for the formation energy is 0.0111 eV per atom. For the electronic total energy, the calculation gives -50.59 eV/f.u.

Cell: 5.064 5.064 15.256 Å, 90.00 90.00 90.00°
Fractional coordinates of all 12 atoms:
Pm (0.500, 0.000, 0.828)
Pm (0.000, 0.500, 0.172)
Pm (0.500, 0.500, 0.338)
Pm (0.500, 0.500, 0.000)
Pm (0.500, 0.000, 0.500)
Pm (0.000, 0.500, 0.500)
Pm (0.500, 0.500, 0.662)
Pm (0.000, 0.500, 0.828)
Pm (0.500, 0.000, 0.172)
Mg (0.000, 0.000, 0.338)
Mg (0.000, 0.000, 0.662)
Pr (0.000, 0.000, 0.000)

=====

Density functional theory data (PBE) for PmPrMg6 after structural relaxation.

The space group is P-6m2. As for the crystal system: hexagonal. The value obtained for the formation energy is -0.1009 eV per atom. For the electronic total energy, the calculation gives -19.90 eV/f.u.

Cell: 5.229 6.822 6.822 Å, 119.99 90.00 90.00°
Fractional coordinates of all 8 atoms:
Mg (0.500, 0.425, 0.088)
Mg (0.000, 0.588, 0.412)
Mg (0.500, 0.912, 0.575)
Mg (0.500, 0.913, 0.087)
Mg (0.000, 0.589, 0.927)
Mg (0.000, 0.073, 0.411)
Pm (0.000, 0.083, 0.917)
Pr (0.500, 0.416, 0.584)

=====

Density functional theory data (PBE) for Pm3Pr4Mg after structural relaxation.

The value obtained for the energy above the most stable polymorph in this dataset is 3.940 kcal/mol of atoms. The space group is C2/m. As for the crystal system: monoclinic. The value obtained for the formation energy is 0.1574 eV per atom. For the electronic total energy, the calculation gives -33.71 eV/f.u.

Cell: 3.686 5.453 14.252 Å, 92.10 97.43 90.00°
Fractional coordinates of all 8 atoms:
Pm (0.151, 0.226, 0.301)
Pm (0.000, 0.500, 0.000)
Pm (0.849, 0.774, 0.699)
Pr (0.282, 0.252, 0.565)
Pr (0.597, 0.715, 0.193)
Pr (0.403, 0.285, 0.807)
Pr (0.718, 0.748, 0.435)
Mg (0.500, 0.000, 0.000)

=====

Density functional theory data (PBE) for Pm3Pr3Mg after structural relaxation.

The value obtained for the energy above the most stable polymorph in this dataset is 0.000 kcal/mol of atoms. The space group is P6_3/m. As for the crystal system: hexagonal. The value obtained for the formation energy is 0.0162 eV per atom. For the electronic total energy, the calculation gives -30.07 eV/f.u.

Cell: 5.791 9.714 9.714 Å, 120.01 90.00 90.00°
Fractional coordinates of all 14 atoms:
Mg (0.250, 0.667, 0.333)
Mg (0.750, 0.333, 0.667)
Pr (0.750, 0.898, 0.526)
Pr (0.750, 0.628, 0.102)
Pr (0.250, 0.525, 0.628)
Pr (0.250, 0.102, 0.474)
Pr (0.250, 0.372, 0.898)
Pr (0.750, 0.475, 0.372)
Pm (0.250, 0.945, 0.760)
Pm (0.250, 0.240, 0.185)
Pm (0.750, 0.055, 0.240)
Pm (0.750, 0.760, 0.815)
Pm (0.750, 0.185, 0.945)
Pm (0.250, 0.815, 0.055)

=====

Density functional theory data (PBE) for PmPr2Mg4 after structural relaxation.

The value obtained for the energy above the most stable polymorph in this dataset is 9.678 kcal/mol of atoms. The space group is I4/mmm. As for the crystal system: tetragonal. The value obtained for the formation energy is 0.5282 eV per atom. For the electronic total energy, the calculation gives -16.99 eV/f.u.

Cell: 5.627 5.627 9.189 Å, 107.83 107.83 90.00°
Fractional coordinates of all 7 atoms:
Mg (0.500, 0.000, 0.000)
Mg (0.185, 0.185, 0.369)
Mg (0.815, 0.815, 0.631)
Mg (0.000, 0.500, 0.000)
Pr (0.608, 0.608, 0.217)
Pr (0.392, 0.392, 0.783)
Pm (0.000, 0.000, 0.000)

=====

Density functional theory data (PBE) for Pm3Pr3Mg after structural relaxation.

The value obtained for the energy above the most stable polymorph in this dataset is 1.867 kcal/mol of atoms. The space group is R-3. As for the crystal system: trigonal. The value obtained for the formation energy is 0.0972 eV per atom. For the electronic total energy, the calculation gives -29.50 eV/f.u.

Cell: 6.356 6.356 14.773 Å, 77.58 77.58 60.00°
Fractional coordinates of all 14 atoms:
Pr (0.731, 0.395, 0.812)
Pr (0.937, 0.269, 0.188)
Pr (0.269, 0.605, 0.188)
Pr (0.605, 0.937, 0.188)
Pr (0.063, 0.731, 0.812)
Pr (0.395, 0.063, 0.812)
Pm (0.465, 0.798, 0.605)
Pm (0.535, 0.202, 0.395)
Pm (0.798, 0.131, 0.605)
Pm (0.131, 0.465, 0.605)
Pm (0.869, 0.535, 0.395)
Pm (0.202, 0.869, 0.395)
Mg (0.333, 0.333, 0.000)
Mg (0.667, 0.667, 0.000)

=====

Density functional theory data (PBE) for Pm2PrMg9 after structural relaxation.

The space group is R-3m. As for the crystal system: trigonal. The value obtained for the formation energy is -0.0710 eV per atom. For the electronic total energy, the calculation gives -29.48 eV/f.u.

Cell: 6.079 6.079 10.533 Å, 73.23 73.23 60.00°
Fractional coordinates of all 12 atoms:
Pr (0.000, 0.000, 0.000)
Pm (0.144, 0.144, 0.569)
Pm (0.856, 0.856, 0.431)
Mg (0.500, 0.500, 0.500)
Mg (0.414, 0.414, 0.251)
Mg (0.586, 0.080, 0.749)
Mg (0.414, 0.920, 0.251)
Mg (0.666, 0.666, 0.002)
Mg (0.586, 0.586, 0.749)
Mg (0.080, 0.586, 0.749)
Mg (0.920, 0.414, 0.251)
Mg (0.334, 0.334, 0.998)

=====

Density functional theory data (PBE) for PmPr4Mg after structural relaxation.

The value obtained for the energy above the most stable polymorph in this dataset is 1.693 kcal/mol of atoms. The space group is C2/c. As for the crystal system: monoclinic. The value obtained for the formation energy is 0.0473 eV per atom. For the electronic total energy, the calculation gives -25.18 eV/f.u.

Cell: 9.014 6.631 8.685 Å, 108.92 118.46 96.37°
Fractional coordinates of all 12 atoms:
Pr (0.102, 0.375, 0.372)
Pr (0.898, 0.625, 0.628)
Pr (0.028, 0.245, 0.895)
Pr (0.230, 0.003, 0.628)
Pr (0.633, 0.350, 0.105)
Pr (0.367, 0.650, 0.895)
Pr (0.770, 0.997, 0.372)
Pr (0.972, 0.755, 0.105)
Pm (0.640, 0.890, 0.780)
Pm (0.360, 0.110, 0.220)
Mg (0.403, 0.653, 0.305)
Mg (0.597, 0.347, 0.695)

=====

> Among the records above, which one has the highest electronic total energy?

PmPr2Mg4

=====

> Which of these has the highest electronic total energy?

PmPr2Mg4

=====

> Which of these has the highest electronic total energy?

PmPr2Mg4

=====

What did the first record say?
Density functional theory data (PBE) for Pm8Pr3Mg2 after structural relaxation.

The space group is P-1. As for the crystal system: triclinic. The value obtained for the formation energy is 0.0663 eV per atom. For the electronic total energy, the calculation gives -54.67 eV/f.u.

Cell: 7.424 9.702 8.075 Å, 88.17 49.07 89.13°
Fractional coordinates of all 13 atoms:
Mg (0.518, 0.562, 0.328)
Mg (0.482, 0.438, 0.672)
Pm (0.931, 0.323, 0.096)
Pm (0.537, 0.690, 0.939)
Pm (0.669, 0.822, 0.459)
Pm (0.839, 0.148, 0.536)
Pm (0.331, 0.178, 0.541)
Pm (0.463, 0.310, 0.061)
Pm (0.161, 0.852, 0.464)
Pm (0.069, 0.677, 0.904)
Pr (0.255, 0.999, 0.987)
Pr (0.745, 0.001, 0.013)
Pr (0.000, 0.500, 0.500)